(1)
! MgScSn3 PBE-GGA relaxed; values from VASP
! ΔH_f (0 K): -0.3115 eV/atom
! Excess energy over the best structure of this formula in the dataset: 0 meV per atom
! Total DFT energy (no corrections): -4.298 eV per atom
&SYSTEM
  ibrav = 0, nat = 20, ntyp = 3
/
ATOMIC_SPECIES
Mg 24.30 Mg.upf
Sc 44.96 Sc.upf
Sn 118.71 Sn.upf
ATOMIC_POSITIONS angstrom
Mg 1.491 1.512 0.000
Mg 1.491 1.512 3.092
Mg 11.300 4.536 0.000
Mg 11.300 4.536 3.092
Sc 4.015 0.031 1.546
Sc 4.015 2.992 4.638
Sc 8.776 3.055 1.546
Sc 8.776 6.016 4.638
Sn 1.111 4.220 4.638
Sn 1.111 4.851 1.546
Sn 3.557 3.066 1.546
Sn 3.557 6.005 4.638
Sn 6.385 4.536 0.000
Sn 6.385 4.536 3.092
Sn 6.405 1.512 0.000
Sn 6.405 1.512 3.092
Sn 9.233 0.042 1.546
Sn 9.233 2.981 4.638
Sn 11.680 1.196 4.638
Sn 11.680 1.827 1.546
CELL_PARAMETERS angstrom
12.791 0.000 0.000
0.000 6.047 0.000
0.000 0.000 6.183

---

(2)
! Mg2ScSn2 PBE-GGA relaxed; values from VASP
! ΔH_f (0 K): -0.1015 eV/atom
! Excess energy over the best structure of this formula in the dataset: 203 meV per atom
! Total DFT energy (no corrections): -3.607 eV per atom
&SYSTEM
  ibrav = 0, nat = 10, ntyp = 3
/
ATOMIC_SPECIES
Mg 24.30 Mg.upf
Sc 44.96 Sc.upf
Sn 118.71 Sn.upf
ATOMIC_POSITIONS angstrom
Mg 0.000 0.000 0.000
Mg 0.000 0.000 6.188
Mg 0.000 2.793 3.094
Mg 2.419 1.396 9.282
Sc 0.000 0.000 3.094
Sc 0.000 0.000 9.282
Sn 0.000 2.793 7.736
Sn 0.000 2.793 10.829
Sn 2.419 1.396 1.548
Sn 2.419 1.396 4.640
CELL_PARAMETERS angstrom
4.838 0.000 0.000
-2.419 4.189 0.000
0.000 0.000 12.376

---

> What is the formula in the first record?

MgScSn3

---

Repeat the second record exactly.
! Mg2ScSn2 PBE-GGA relaxed; values from VASP
! ΔH_f (0 K): -0.1015 eV/atom
! Excess energy over the best structure of this formula in the dataset: 203 meV per atom
! Total DFT energy (no corrections): -3.607 eV per atom
&SYSTEM
  ibrav = 0, nat = 10, ntyp = 3
/
ATOMIC_SPECIES
Mg 24.30 Mg.upf
Sc 44.96 Sc.upf
Sn 118.71 Sn.upf
ATOMIC_POSITIONS angstrom
Mg 0.000 0.000 0.000
Mg 0.000 0.000 6.188
Mg 0.000 2.793 3.094
Mg 2.419 1.396 9.282
Sc 0.000 0.000 3.094
Sc 0.000 0.000 9.282
Sn 0.000 2.793 7.736
Sn 0.000 2.793 10.829
Sn 2.419 1.396 1.548
Sn 2.419 1.396 4.640
CELL_PARAMETERS angstrom
4.838 0.000 0.000
-2.419 4.189 0.000
0.000 0.000 12.376